# 1
Here is a relaxed structure of PrEr5Bi6 from the Alexandria database. Energies are from PBE.

```
data_PrEr5Bi6
_cell_length_a 7.762
_cell_length_b 13.448
_cell_length_c 7.763
_cell_angle_alpha 90.00
_cell_angle_beta 109.52
_cell_angle_gamma 90.00
_symmetry_space_group_name_H-M 'C 1 2/m 1'
_symmetry_Int_Tables_number 12
_symmetry_space_group_name_Hall '-C 2y'
loop_
_atom_site_label
_atom_site_type_symbol
_atom_site_fract_x
_atom_site_fract_y
_atom_site_fract_z
Pr1 Pr 0.000 0.000 0.000
Er1 Er 0.000 0.163 0.500
Er2 Er 0.000 0.332 0.000
Er3 Er 0.000 0.500 0.500
Bi1 Bi 0.243 0.500 0.252
Bi2 Bi 0.244 0.330 0.744
```

**ΔH_f (0 K)**: -831.3 meV/atom

# 2
Here is a relaxed structure of Pr2ErBi3 from the Alexandria database. Energies are from PBE.

```
data_Pr2ErBi3
_cell_length_a 7.933
_cell_length_b 13.746
_cell_length_c 7.925
_cell_angle_alpha 90.00
_cell_angle_beta 109.53
_cell_angle_gamma 90.00
_symmetry_space_group_name_H-M 'C 1 2/m 1'
_symmetry_Int_Tables_number 12
_symmetry_space_group_name_Hall '-C 2y'
loop_
_atom_site_label
_atom_site_type_symbol
_atom_site_fract_x
_atom_site_fract_y
_atom_site_fract_z
Pr1 Pr 0.000 0.000 0.000
Pr2 Pr 0.000 0.164 0.500
Pr3 Pr 0.000 0.500 0.500
Er1 Er 0.000 0.332 0.000
Bi1 Bi 0.239 0.500 0.239
Bi2 Bi 0.249 0.330 0.757
```

**Energy relative to the lowest polymorph listed for this composition**: 0 meV per atom
**ΔH_f (0 K)**: -903.0 meV/atom

Calculated energy, -5.0712, -5.1971 eV per atom (same order as the records).